Record 1
SbPtRhW2 (GGA-PBE, optimized geometry); V = 22.176 A^3/atom; E_tot = -32.50 eV per cell; E_form (uncorrected) = 2.184 eV/atom; symmetry = P4/mmm (123)
1.0
4.877 0.000 0.000
0.000 4.877 0.000
0.000 0.000 4.662
Sb Pt Rh W
1 1 1 2
direct
0.000 0.000 0.000 Sb
0.500 0.500 0.500 Pt
0.000 0.000 0.500 Rh
0.000 0.500 0.000 W
0.500 0.000 0.000 W

***

Record 2
La3Pm8Y2 (GGA-PBE, optimized geometry); E_form = 0.131 eV/atom; V = 34.853 A^3/atom; E_tot = -128.01 eV per cell; relative energy among the computed polymorphs = 0 meV/atom; symmetry = C2/c (15)
1.0
6.846 -6.052 0.000
6.846 6.052 0.000
-5.445 0.000 10.936
La Pm Y
6 16 4
direct
0.000 0.000 0.000 La
0.000 0.000 0.500 La
0.119 0.881 0.750 La
0.450 0.550 0.250 La
0.550 0.450 0.750 La
0.881 0.119 0.250 La
0.074 0.700 0.269 Pm
0.096 0.349 0.040 Pm
0.142 0.456 0.618 Pm
0.223 0.331 0.331 Pm
0.300 0.926 0.231 Pm
0.331 0.223 0.831 Pm
0.349 0.096 0.540 Pm
0.456 0.142 0.118 Pm
0.544 0.858 0.882 Pm
0.651 0.904 0.460 Pm
0.669 0.777 0.169 Pm
0.700 0.074 0.769 Pm
0.777 0.669 0.669 Pm
0.858 0.544 0.382 Pm
0.904 0.651 0.960 Pm
0.926 0.300 0.731 Pm
0.293 0.623 0.952 Y
0.377 0.707 0.548 Y
0.623 0.293 0.452 Y
0.707 0.377 0.048 Y

***

Record 3
Cu2ReSe (GGA-PBE, optimized geometry); V = 14.210 A^3/atom; E_tot = -22.96 eV per cell; E_form (uncorrected) = 0.292 eV/atom; symmetry = P4mm (99)
1.0
3.106 0.000 0.000
0.000 3.106 0.000
0.000 0.000 5.892
Cu Re Se
2 1 1
direct
0.000 0.000 0.000 Cu
0.500 0.500 0.201 Cu
0.000 0.000 0.467 Re
0.500 0.500 0.697 Se

***

Record 4
SrLiTiO3 (GGA-PBE, optimized geometry); V = 12.789 A^3/atom; E_tot = -81.81 eV per cell; E_form (uncorrected) = -2.423 eV/atom; symmetry = Cmcm (63)
1.0
1.931 -5.692 0.000
1.931 5.692 0.000
0.000 0.000 6.982
Sr Li Ti O
2 2 2 6
direct
0.237 0.763 0.750 Sr
0.763 0.237 0.250 Sr
0.000 0.000 0.000 Li
0.000 0.000 0.500 Li
0.493 0.507 0.250 Ti
0.507 0.493 0.750 Ti
0.032 0.968 0.250 O
0.376 0.624 0.043 O
0.376 0.624 0.457 O
0.624 0.376 0.543 O
0.624 0.376 0.957 O
0.968 0.032 0.750 O